Density functional theory data (GGA-PBE) for a relaxed structure of Pr6HgAs3S2. Values from VASP.

```
&SYSTEM
  ibrav = 0, nat = 12, ntyp = 4
/
ATOMIC_SPECIES
Pr 140.91 Pr.upf
Hg 200.59 Hg.upf
As 74.92 As.upf
S 32.06 S.upf
ATOMIC_POSITIONS crystal
Pr 0.0039 0.0039 0.2682
Pr 0.3264 0.3264 0.9077
Pr 0.3326 0.3326 0.4150
Pr 0.6674 0.6674 0.5850
Pr 0.6736 0.6736 0.0923
Pr 0.9961 0.9961 0.7318
Hg 0.5000 0.5000 0.0000
As 0.1645 0.1645 0.8341
As 0.5000 0.5000 0.5000
As 0.8355 0.8355 0.1659
S 0.1693 0.1693 0.3390
S 0.8307 0.8307 0.6610
CELL_PARAMETERS angstrom
9.2765 -2.1235 0.0000
9.2765 2.1235 0.0000
-1.8625 0.0000 8.3972
```

Summary:
For the formation energy without anion corrections, the calculation gives -144.0 kJ per mole of atoms. The space group is C2/m. The calculation puts the calculated volume at 27.6 Å³/atom.

Density functional theory data (GGA-PBE) for a relaxed structure of Pr6HgAs2Se3. Values from VASP.

```
&SYSTEM
  ibrav = 0, nat = 12, ntyp = 4
/
ATOMIC_SPECIES
Pr 140.91 Pr.upf
Hg 200.59 Hg.upf
As 74.92 As.upf
Se 78.96 Se.upf
ATOMIC_POSITIONS crystal
Pr 0.0021 0.0021 0.2625
Pr 0.3305 0.3305 0.4224
Pr 0.3299 0.3299 0.9073
Pr 0.6701 0.6701 0.0927
Pr 0.6695 0.6695 0.5776
Pr 0.9979 0.9979 0.7375
Hg 0.5000 0.5000 0.0000
As 0.1669 0.1669 0.3344
As 0.8331 0.8331 0.6656
Se 0.1668 0.1668 0.8329
Se 0.5000 0.5000 0.5000
Se 0.8332 0.8332 0.1671
CELL_PARAMETERS angstrom
9.4117 -2.1461 0.0000
9.4117 2.1461 0.0000
-2.0006 0.0000 8.4754
```

Summary:
For the formation energy without anion corrections, the calculation gives -145.9 kJ per mole of atoms. The space group is C2/m. The calculation puts the calculated volume at 28.5 Å³/atom.

Density functional theory data (GGA-PBE) for a relaxed structure of Pr4HgAsSe2. Values from VASP.

```
&SYSTEM
  ibrav = 0, nat = 8, ntyp = 4
/
ATOMIC_SPECIES
Pr 140.91 Pr.upf
Hg 200.59 Hg.upf
As 74.92 As.upf
Se 78.96 Se.upf
ATOMIC_POSITIONS crystal
Pr 0.2377 0.0000 0.2409
Pr 0.2394 0.5000 0.7483
Pr 0.7606 0.5000 0.2517
Pr 0.7623 0.0000 0.7591
Hg 0.5000 0.5000 0.5000
As 0.0000 0.0000 0.5000
Se 0.0000 0.5000 0.0000
Se 0.5000 0.0000 0.0000
CELL_PARAMETERS angstrom
7.5315 0.0000 0.0000
0.0000 4.2911 0.0000
-2.4614 0.0000 7.1224
```

Summary:
For the formation energy without anion corrections, the calculation gives -134.8 kJ per mole of atoms. The space group is P2/m. The calculation puts the calculated volume at 28.8 Å³/atom.

Density functional theory data (GGA-PBE) for a relaxed structure of Pr4HgTe2As. Values from VASP.

```
&SYSTEM
  ibrav = 0, nat = 8, ntyp = 4
/
ATOMIC_SPECIES
Pr 140.91 Pr.upf
Hg 200.59 Hg.upf
Te 127.60 Te.upf
As 74.92 As.upf
ATOMIC_POSITIONS crystal
Pr 0.2298 0.0000 0.2329
Pr 0.2408 0.5000 0.7556
Pr 0.7592 0.5000 0.2444
Pr 0.7702 0.0000 0.7671
Hg 0.0000 0.0000 0.5000
Te 0.5000 0.0000 0.0000
Te 0.5000 0.5000 0.5000
As 0.0000 0.5000 0.0000
CELL_PARAMETERS angstrom
7.7683 0.0000 0.0000
0.0000 4.3936 0.0000
-2.5040 0.0000 7.3913
```

Summary:
For the formation energy without anion corrections, the calculation gives -117.1 kJ per mole of atoms. The space group is P2/m. The calculation puts the calculated volume at 31.5 Å³/atom.

Density functional theory data (GGA-PBE) for a relaxed structure of Pr6HgTe3As2. Values from VASP.

```
&SYSTEM
  ibrav = 0, nat = 12, ntyp = 4
/
ATOMIC_SPECIES
Pr 140.91 Pr.upf
Hg 200.59 Hg.upf
Te 127.60 Te.upf
As 74.92 As.upf
ATOMIC_POSITIONS crystal
Pr 0.0074 0.0074 0.2525
Pr 0.3272 0.3272 0.4316
Pr 0.3330 0.3330 0.8968
Pr 0.6670 0.6670 0.1032
Pr 0.6728 0.6728 0.5684
Pr 0.9926 0.9926 0.7475
Hg 0.5000 0.5000 0.0000
Te 0.1655 0.1655 0.8324
Te 0.5000 0.5000 0.5000
Te 0.8345 0.8345 0.1676
As 0.1680 0.1680 0.3357
As 0.8320 0.8320 0.6643
CELL_PARAMETERS angstrom
9.7264 -2.1969 0.0000
9.7264 2.1969 0.0000
-2.1534 0.0000 8.7721
```

Summary:
For the formation energy without anion corrections, the calculation gives -128.2 kJ per mole of atoms. The space group is C2/m. The calculation puts the calculated volume at 31.2 Å³/atom.

Density functional theory data (GGA-PBE) for a relaxed structure of HgAsPt2. Values from VASP.

```
&SYSTEM
  ibrav = 0, nat = 8, ntyp = 3
/
ATOMIC_SPECIES
Hg 200.59 Hg.upf
As 74.92 As.upf
Pt 195.08 Pt.upf
ATOMIC_POSITIONS crystal
Hg 0.0000 0.0000 0.0000
Hg 0.7500 0.2500 0.5000
As 0.2500 0.7500 0.5000
As 0.5000 0.5000 0.0000
Pt 0.1675 0.6250 0.0425
Pt 0.3750 0.4175 0.5425
Pt 0.5825 0.1250 0.9575
Pt 0.8750 0.8325 0.4575
CELL_PARAMETERS angstrom
-3.6533 3.6533 2.8309
3.6533 -3.6533 2.8309
3.6533 3.6533 -2.8309
```

Summary:
The value obtained for the formation energy is 0.05 eV/atom. The space group is I-42d. The calculation puts the calculated volume at 18.9 Å³/atom.

Density functional theory data (GGA-PBE) for a relaxed structure of HgAs2Pt. Values from VASP.

```
&SYSTEM
  ibrav = 0, nat = 4, ntyp = 3
/
ATOMIC_SPECIES
Hg 200.59 Hg.upf
As 74.92 As.upf
Pt 195.08 Pt.upf
ATOMIC_POSITIONS crystal
Hg 0.0000 0.0000 0.0000
As 0.5000 0.5000 0.3232
As 0.5000 0.5000 0.6768
Pt 0.0000 0.0000 0.5000
CELL_PARAMETERS angstrom
3.0205 0.0000 0.0000
0.0000 3.0205 0.0000
0.0000 0.0000 9.5522
```

Summary:
The value obtained for the formation energy is 0.03 eV/atom. The space group is P4/mmm. The calculation puts the calculated volume at 21.8 Å³/atom.

Density functional theory data (GGA-PBE) for a relaxed structure of HgAsPt2. Values from VASP.

```
&SYSTEM
  ibrav = 0, nat = 4, ntyp = 3
/
ATOMIC_SPECIES
Hg 200.59 Hg.upf
As 74.92 As.upf
Pt 195.08 Pt.upf
ATOMIC_POSITIONS crystal
Hg 0.0000 0.0000 0.0000
As 0.7739 0.7739 0.7739
Pt 0.2483 0.2483 0.2483
Pt 0.5030 0.5030 0.5030
CELL_PARAMETERS angstrom
1.5299 0.8833 9.3703
-1.5299 0.8833 9.3703
0.0000 -1.7666 9.3703
```

Summary:
The value obtained for the formation energy is 0.04 eV/atom. The space group is R3m. The calculation puts the calculated volume at 19.0 Å³/atom.